Entry 1:
Here is a geometry-optimized HfTi3Se structure from the Alexandria database. Energies are from PBE.

Unit cell a=4.6757 b=4.6757 c=4.6757 alpha=90.00 beta=90.00 gamma=90.00
Last column: nearest neighbours and their distance in Å.
Sites, in units of the cell vectors:
1 Ti 0.0000 0.5000 0.0000  2 Se 2.34
2 Ti 0.0000 0.0000 0.5000  2 Se 2.34
3 Ti 0.5000 0.0000 0.0000  2 Se 2.34
4 Se 0.0000 0.0000 0.0000  6 Ti 2.34
5 Hf 0.5000 0.5000 0.5000  12 Ti 3.31

Computed properties:
D(E_F)   0.85 states/eV per atom
Formation energy from raw total energies   -0.11 eV per formula unit
E above lowest polymorph   455 meV per atom

Entry 2:
Here is a geometry-optimized Hf2TiSe structure from the Alexandria database. Energies are from PBE.

Unit cell a=3.2705 b=5.4126 c=7.1338 alpha=128.38 beta=103.45 gamma=107.39
Last column: nearest neighbours and their distance in Å.
Sites, in units of the cell vectors:
1 Ti 0.6064 0.0941 0.0001  3 Se 2.83-2.85, 4 Hf 2.90-2.91
2 Se 0.3308 0.5465 0.9999  3 Ti 2.83-2.85, 6 Hf 2.89-2.93
3 Hf 0.6658 0.7123 0.4998  3 Hf 2.74-2.93, 2 Se 2.89, 4 Ti 2.90-2.91
4 Hf 0.3969 0.1831 0.5003  3 Hf 2.74-2.93, 4 Se 2.92-2.93

Computed properties:
D(E_F)   1.00 states/eV per atom
Formation energy from raw total energies   -1.01 eV per formula unit

Entry 3:
Here is a geometry-optimized Hf2TiSe structure from the Alexandria database. Energies are from PBE.

Unit cell a=3.2478 b=3.2478 c=9.4524 alpha=80.11 beta=80.11 gamma=60.00
Last column: nearest neighbours and their distance in Å.
Sites, in units of the cell vectors:
1 Ti 0.0000 0.0000 0.0000  2 Hf 2.66
2 Se 0.5000 0.5000 0.5000  6 Hf 2.72
3 Hf 0.9042 0.9042 0.2873  1 Ti 2.66, 3 Se 2.72
4 Hf 0.0958 0.0958 0.7127  1 Ti 2.66, 3 Se 2.72

Computed properties:
D(E_F)   1.09 states/eV per atom
Formation energy from raw total energies   0.16 eV per formula unit

Entry 4:
Here is a geometry-optimized HfTiSe2 structure from the Alexandria database. Energies are from PBE.

Unit cell a=5.8614 b=5.8614 c=7.2509 alpha=66.16 beta=66.16 gamma=90.00
Last column: nearest neighbours and their distance in Å.
Sites, in units of the cell vectors:
1 Se 0.6146 0.1250 0.2500  2 Ti 2.52, 2 Hf 2.59
2 Se 0.8750 0.8646 0.7500  2 Ti 2.52, 2 Hf 2.59
3 Se 0.1354 0.6250 0.2500  2 Ti 2.52, 2 Hf 2.59
4 Se 0.3750 0.3854 0.7500  2 Ti 2.52, 2 Hf 2.59
5 Ti 0.5000 0.5000 0.0000  4 Se 2.52
6 Ti 0.2500 0.7500 0.5000  4 Se 2.52
7 Hf 0.7500 0.2500 0.5000  4 Se 2.59
8 Hf 0.0000 0.0000 0.0000  4 Se 2.59

Computed properties:
D(E_F)   1.42 states/eV per atom
Formation energy from raw total energies   -2.04 eV per formula unit
E above lowest polymorph   579 meV per atom

Entry 5:
Here is a geometry-optimized HfTiSe structure from the Alexandria database. Energies are from PBE.

Unit cell a=3.2796 b=3.2796 c=12.4310 alpha=97.58 beta=97.58 gamma=90.00
Last column: nearest neighbours and their distance in Å.
Sites, in units of the cell vectors:
1 Ti 0.3569 0.3569 0.7137  4 Se 2.57
2 Ti 0.6431 0.6431 0.2863  4 Se 2.57
3 Hf 0.0660 0.0660 0.1320  1 Se 2.98, 4 Ti 2.99, 5 Hf 3.22-3.28
4 Hf 0.9340 0.9340 0.8680  1 Se 2.98, 4 Ti 2.99, 5 Hf 3.22-3.28
5 Se 0.1881 0.1881 0.3761  4 Ti 2.57
6 Se 0.8119 0.8119 0.6239  4 Ti 2.57

Computed properties:
D(E_F)   0.53 states/eV per atom
Formation energy from raw total energies   -1.46 eV per formula unit
E above lowest polymorph   222 meV per atom

Entry 6:
Here is a geometry-optimized Hf2TiSe6 structure from the Alexandria database. Energies are from PBE.

Unit cell a=6.1724 b=6.7041 c=9.8748 alpha=90.00 beta=90.94 gamma=90.00
Last column: nearest neighbours and their distance in Å.
Sites, in units of the cell vectors:
1 Se 0.1767 0.3309 0.4216  1 Ti 2.60, 2 Hf 2.67-2.71
2 Se 0.3310 0.5504 0.7628  1 Ti 2.57, 2 Hf 2.66-2.70
3 Se 0.6688 0.1890 0.5747  1 Ti 2.53, 2 Hf 2.71-2.75
4 Se 0.6767 0.1691 0.9216  1 Ti 2.60, 2 Hf 2.67-2.71
5 Se 0.8312 0.6890 0.9253  1 Ti 2.53, 2 Hf 2.71-2.75
6 Se 0.3312 0.8110 0.4253  1 Ti 2.53, 2 Hf 2.71-2.75
7 Se 0.3233 0.8309 0.0784  1 Ti 2.60, 2 Hf 2.67-2.71
8 Se 0.6690 0.4496 0.2372  1 Ti 2.57, 2 Hf 2.66-2.70
9 Se 0.8233 0.6691 0.5784  1 Ti 2.60, 2 Hf 2.67-2.71
10 Se 0.1690 0.0504 0.7372  1 Ti 2.57, 2 Hf 2.66-2.70
11 Se 0.8310 0.9496 0.2628  1 Ti 2.57, 2 Hf 2.66-2.70
12 Se 0.1688 0.3110 0.0747  1 Ti 2.53, 2 Hf 2.71-2.75
13 Hf 0.5668 0.8809 0.7400  6 Se 2.66-2.75
14 Hf 0.0668 0.6191 0.2400  6 Se 2.66-2.75
15 Hf 0.9332 0.3809 0.7600  6 Se 2.66-2.75
16 Hf 0.4332 0.1191 0.2600  6 Se 2.66-2.75
17 Ti 0.5000 0.5000 0.0000  6 Se 2.53-2.60
18 Ti 0.0000 0.0000 0.5000  6 Se 2.53-2.60

Computed properties:
Formation energy from raw total energies   -9.88 eV per formula unit
E above lowest polymorph   162 meV per atom

Entry 7:
Here is a geometry-optimized HfTiSe structure from the Alexandria database. Energies are from PBE.

Unit cell a=3.3203 b=5.2335 c=6.8962 alpha=90.00 beta=103.93 gamma=90.00
Last column: nearest neighbours and their distance in Å.
Sites, in units of the cell vectors:
1 Hf 0.1354 0.2500 0.2708  4 Se 2.73-2.83, 2 Ti 2.90
2 Hf 0.8646 0.7500 0.7292  4 Se 2.73-2.83, 2 Ti 2.90
3 Ti 0.4580 0.2500 0.9160  2 Se 2.62, 2 Ti 2.85, 2 Hf 2.90
4 Ti 0.5420 0.7500 0.0840  2 Se 2.62, 2 Ti 2.85, 2 Hf 2.90
5 Se 0.1938 0.7500 0.3876  2 Ti 2.62, 4 Hf 2.73-2.83
6 Se 0.8062 0.2500 0.6124  2 Ti 2.62, 4 Hf 2.73-2.83

Computed properties:
D(E_F)   0.55 states/eV per atom
Formation energy from raw total energies   -2.09 eV per formula unit
E above lowest polymorph   13 meV per atom

Entry 8:
Here is a geometry-optimized Hf2TiSe structure from the Alexandria database. Energies are from PBE.

Unit cell a=8.0400 b=8.0400 c=6.2702 alpha=50.12 beta=50.12 gamma=90.00
Last column: nearest neighbours and their distance in Å.
Sites, in units of the cell vectors:
1 Hf 0.0659 0.6250 0.2500  2 Se 2.61, 2 Hf 2.81
2 Hf 0.3750 0.3159 0.7500  2 Se 2.61, 2 Hf 2.81
3 Hf 0.8750 0.9341 0.7500  2 Se 2.61, 2 Hf 2.81
4 Hf 0.6841 0.1250 0.2500  2 Se 2.61, 2 Hf 2.81
5 Se 0.7500 0.2500 0.5000  4 Hf 2.61, 2 Ti 2.64
6 Se 0.0000 0.0000 0.0000  4 Hf 2.61, 2 Ti 2.64
7 Ti 0.5000 0.5000 0.0000  2 Se 2.64
8 Ti 0.2500 0.7500 0.5000  2 Se 2.64

Computed properties:
D(E_F)   1.11 states/eV per atom
Formation energy from raw total energies   0.00 eV per formula unit

Entry 9:
Here is a geometry-optimized HfTiSe2 structure from the Alexandria database. Energies are from PBE.

Unit cell a=8.7371 b=8.7371 c=8.7371 alpha=22.75 beta=22.75 gamma=22.75
Last column: nearest neighbours and their distance in Å.
Sites, in units of the cell vectors:
1 Se 0.1034 0.1034 0.1034  3 Ti 2.56, 1 Hf 2.64
2 Se 0.8966 0.8966 0.8966  3 Ti 2.56, 1 Hf 2.64
3 Ti 0.5000 0.5000 0.5000  6 Se 2.56
4 Hf 0.0000 0.0000 0.0000  2 Se 2.64

Computed properties:
D(E_F)   1.16 states/eV per atom
Formation energy from raw total energies   -2.57 eV per formula unit
E above lowest polymorph   446 meV per atom

Entry 10:
Here is a geometry-optimized Hf2TiSe6 structure from the Alexandria database. Energies are from PBE.

Unit cell a=3.7032 b=8.1668 c=8.9451 alpha=110.47 beta=101.95 gamma=90.00
Last column: nearest neighbours and their distance in Å.
Sites, in units of the cell vectors:
1 Se 0.6713 0.5732 0.3426  3 Hf 2.68-2.70
2 Se 0.9979 0.7748 0.9957  2 Ti 2.60, 1 Hf 2.65
3 Se 0.3425 0.9091 0.6850  1 Ti 2.59, 2 Hf 2.67
4 Se 0.3287 0.4268 0.6574  3 Hf 2.68-2.70
5 Se 0.6575 0.0909 0.3150  1 Ti 2.59, 2 Hf 2.67
6 Se 0.0021 0.2252 0.0043  2 Ti 2.60, 1 Hf 2.65
7 Hf 0.1641 0.3312 0.3282  6 Se 2.65-2.70
8 Hf 0.8359 0.6688 0.6718  6 Se 2.65-2.70
9 Ti 0.5000 0.0000 0.0000  6 Se 2.59-2.60

Computed properties:
D(E_F)   0.13 states/eV per atom
Formation energy from raw total energies   -11.34 eV per formula unit
E above lowest polymorph   0 meV per atom

Entry 11:
Here is a geometry-optimized HfTiSe2 structure from the Alexandria database. Energies are from PBE.

Unit cell a=3.5170 b=3.5170 c=7.2897 alpha=76.04 beta=76.04 gamma=60.00
Last column: nearest neighbours and their distance in Å.
Sites, in units of the cell vectors:
1 Se 0.2536 0.2536 0.2391  3 Ti 2.60, 3 Hf 2.71
2 Se 0.0804 0.0804 0.7587  3 Ti 2.68, 3 Hf 2.75
3 Ti 0.6642 0.6642 0.0075  6 Se 2.60-2.68
4 Hf 0.5018 0.5018 0.4947  6 Se 2.71-2.75

Computed properties:
D(E_F)   0.59 states/eV per atom
Formation energy from raw total energies   -3.97 eV per formula unit
E above lowest polymorph   96 meV per atom

Entry 12:
Here is a geometry-optimized HfTi3Se structure from the Alexandria database. Energies are from PBE.

Unit cell a=4.8879 b=4.8879 c=4.8879 alpha=90.00 beta=90.00 gamma=90.00
Last column: nearest neighbours and their distance in Å.
Sites, in units of the cell vectors:
1 Ti 0.5000 0.0000 0.0000  2 Hf 2.44
2 Ti 0.0000 0.0000 0.5000  2 Hf 2.44
3 Ti 0.0000 0.5000 0.0000  2 Hf 2.44
4 Hf 0.0000 0.0000 0.0000  6 Ti 2.44
5 Se 0.5000 0.5000 0.5000  12 Ti 3.46

Computed properties:
D(E_F)   1.23 states/eV per atom
Formation energy from raw total energies   5.69 eV per formula unit
E above lowest polymorph   1616 meV per atom